Entry A
The following is a PBE calculation of a geometry-optimized Cs2FeI4 structure, from Alexandria.

Summary:
Magnetic moment in μB/atom: 0.571
Fermi-level density of states in states/eV/cell: 14.45

abc: 8.070 8.378 11.055
angles: 90.00 109.29 90.00
Fractional coordinates of all 14 atoms:
1 Cs 0.705 0.750 0.038
2 Cs 0.295 0.250 0.962
3 Cs 0.197 0.250 0.414
4 Cs 0.803 0.750 0.586
5 I 0.517 0.500 0.279
6 I 0.154 0.750 0.966
7 I 0.846 0.250 0.034
8 I 0.517 0.000 0.279
9 I 0.905 0.250 0.647
10 I 0.483 0.000 0.721
11 I 0.483 0.500 0.721
12 I 0.095 0.750 0.353
13 Fe 0.310 0.750 0.218
14 Fe 0.690 0.250 0.782

***

Entry B
The following is a PBE calculation of a geometry-optimized Cs2FeI4 structure, from Alexandria.

Summary:
Magnetic moment in μB/atom: 0.572
Fermi-level density of states in states/eV/cell: 6.04

abc: 5.819 5.819 10.297
angles: 73.59 73.59 90.00
Fractional coordinates of all 7 atoms:
1 Cs 0.640 0.640 0.721
2 Cs 0.360 0.360 0.279
3 I 0.850 0.850 0.301
4 I 0.150 0.150 0.699
5 I 0.000 0.500 0.000
6 I 0.500 0.000 0.000
7 Fe 0.000 0.000 0.000

***

entry A wins, 8.4 kJ/mol of atoms ahead of the next structure.

***

Entry A
The following is a PBE calculation of a geometry-optimized Cs2KFeI6 structure, from Alexandria.

Summary:
Magnetic moment in μB/atom: 0.500
Fermi-level density of states in states/eV/cell: 0.00

abc: 8.755 8.755 8.755
angles: 60.00 60.00 90.00
Fractional coordinates of all 10 atoms:
1 Cs 0.750 0.250 0.500
2 Cs 0.250 0.750 0.500
3 I 0.226 0.226 0.548
4 I 0.774 0.774 0.452
5 I 0.226 0.226 0.000
6 I 0.774 0.774 0.000
7 I 0.774 0.226 0.000
8 I 0.226 0.774 0.000
9 K 0.500 0.500 0.000
10 Fe 0.000 0.000 0.000

***

Entry B
The following is a PBE calculation of a geometry-optimized Cs2KFeI6 structure, from Alexandria.

Summary:
Magnetic moment in μB/atom: 0.095
Fermi-level density of states in states/eV/cell: 10.29

abc: 8.554 8.258 8.258
angles: 120.00 90.00 90.00
Fractional coordinates of all 10 atoms:
1 Cs 0.162 0.333 0.667
2 Cs 0.838 0.667 0.333
3 K 0.500 0.000 0.000
4 Fe 0.000 0.000 0.000
5 I 0.818 0.153 0.307
6 I 0.818 0.153 0.847
7 I 0.818 0.693 0.847
8 I 0.182 0.847 0.153
9 I 0.182 0.307 0.153
10 I 0.182 0.847 0.693

***

entry A wins, 4.1 kJ/mol of atoms ahead of the next structure.